[1]
DFT (PBE-GGA) results for Sm2GdI after structural relaxation.

Cell: 3.6856 3.6856 9.6697 Å, 90.00 90.00 90.00°
Site moments in Bohr magnetons follow the coordinates.
Sites, in units of the cell vectors:
I 0.5000 0.5000 0.5000  0.01
Gd 0.5000 0.5000 0.0000  7.15
Sm 0.0000 0.0000 0.2585  -0.03
Sm 0.0000 0.0000 0.7415  -0.03

Properties
Its polymorph energy (0 for the lowest one) is 0.0557 eV per atom. The space group is P4/mmm.

***

[2]
DFT (PBE-GGA) results for Pm12CoIr6 after structural relaxation.

Cell: 8.2896 8.2896 8.2896 Å, 99.58 99.58 99.58°
Sites, in units of the cell vectors:
Pm 0.4217 0.5826 0.1765
Pm 0.5783 0.4174 0.8235
Pm 0.6818 0.9265 0.0453
Ir 0.3829 0.6962 0.8669
Pm 0.5826 0.1765 0.4217
Pm 0.0735 0.9547 0.3182
Pm 0.9265 0.0453 0.6818
Pm 0.1765 0.4217 0.5826
Ir 0.3038 0.1331 0.6171
Pm 0.4174 0.8235 0.5783
Pm 0.9547 0.3182 0.0735
Pm 0.3182 0.0735 0.9547
Ir 0.1331 0.6171 0.3038
Co 0.0000 0.0000 0.0000
Pm 0.0453 0.6818 0.9265
Ir 0.6171 0.3038 0.1331
Pm 0.8235 0.5783 0.4174
Ir 0.6962 0.8669 0.3829
Ir 0.8669 0.3829 0.6962

Properties
For the energy of formation, the calculation gives -49 kJ per mole of atoms. The space group is R-3.

***

Respective density of states at the Fermi level values: 1.182, 0.494 states/eV/atom.